No. 1
A plane-wave DFT calculation with PBE-GGA was carried out for a relaxed structure of BaPrSn2S6.

a = 4.053 Å, b = 20.239 Å, c = 12.082 Å
α = 90.00°, β = 90.00°, γ = 90.00°
Atoms (fractional coordinates):
Ba  0.000  0.864  0.254
Ba  0.000  0.421  0.317
Ba  0.000  0.136  0.754
Ba  0.000  0.579  0.817
Pr  0.000  0.622  0.183
Pr  0.000  0.081  0.376
Pr  0.000  0.378  0.683
Pr  0.000  0.919  0.876
S  0.500  0.622  0.005
S  0.500  0.873  0.038
S  0.000  0.486  0.059
S  0.000  0.007  0.095
S  0.500  0.340  0.167
S  0.500  0.732  0.205
S  0.500  0.137  0.231
S  0.500  0.543  0.296
S  0.500  0.976  0.354
S  0.000  0.240  0.380
S  0.000  0.665  0.421
S  0.500  0.818  0.452
S  0.500  0.378  0.505
S  0.500  0.127  0.538
S  0.000  0.514  0.559
S  0.000  0.993  0.595
S  0.500  0.660  0.667
S  0.500  0.268  0.705
S  0.500  0.863  0.731
S  0.500  0.457  0.796
S  0.500  0.024  0.854
S  0.000  0.760  0.880
S  0.000  0.335  0.921
S  0.500  0.182  0.952
Sn  0.500  0.749  0.002
Sn  0.500  0.076  0.050
Sn  0.000  0.247  0.096
Sn  0.500  0.591  0.494
Sn  0.500  0.251  0.502
Sn  0.500  0.924  0.550
Sn  0.000  0.753  0.596
Sn  0.500  0.409  0.994

- total magnetic moment (μB per formula unit) = 0.000
- calculated volume (Å³ per cell) = 991
- SG = Pmc2_1

No. 2
A plane-wave DFT calculation with PBE-GGA was carried out for a relaxed structure of Hf3CN.

a = 5.482 Å, b = 5.482 Å, c = 8.502 Å
α = 90.00°, β = 90.00°, γ = 146.42°
Atoms (fractional coordinates):
C  0.000  0.000  0.000
C  0.000  0.000  0.500
Hf  0.365  0.635  0.078
Hf  0.089  0.911  0.250
Hf  0.365  0.635  0.422
Hf  0.635  0.365  0.578
Hf  0.911  0.089  0.750
Hf  0.635  0.365  0.922
N  0.737  0.263  0.250
N  0.263  0.737  0.750

- total magnetic moment (μB per formula unit) = 0.007
- calculated volume (Å³ per cell) = 141
- SG = Cmcm

No. 3
A plane-wave DFT calculation with PBE-GGA was carried out for a relaxed structure of RbGdTeS.

a = 8.532 Å, b = 8.532 Å, c = 8.532 Å
α = 29.28°, β = 29.28°, γ = 29.28°
Atoms (fractional coordinates):
Gd  0.509  0.509  0.509
Rb  0.994  0.994  0.994
S  0.231  0.231  0.231
Te  0.766  0.766  0.766

- total magnetic moment (μB per formula unit) = 0.003
- calculated volume (Å³ per cell) = 131
- SG = R3m
- offset from the most stable computed form (kJ per mole of atoms) = 0.00

No. 4
A plane-wave DFT calculation with PBE-GGA was carried out for a relaxed structure of K2PWN4.

a = 5.566 Å, b = 5.566 Å, c = 5.566 Å
α = 119.11°, β = 119.11°, γ = 91.54°
Atoms (fractional coordinates):
K  0.500  0.500  0.000
K  0.750  0.250  0.500
N  0.113  0.800  0.146
N  0.200  0.346  0.314
N  0.032  0.887  0.686
N  0.654  0.968  0.854
P  0.000  0.000  0.000
W  0.250  0.750  0.500

- total magnetic moment (μB per formula unit) = 1.000
- calculated volume (Å³ per cell) = 124
- SG = I-4

No. 5
A plane-wave DFT calculation with PBE-GGA was carried out for a relaxed structure of LiNb2.

a = 7.311 Å, b = 7.311 Å, c = 7.311 Å
α = 60.00°, β = 60.00°, γ = 60.00°
Atoms (fractional coordinates):
Li  0.250  0.250  0.250
Li  0.500  0.500  0.500
Nb  0.375  0.375  0.375
Nb  0.375  0.875  0.375
Nb  0.875  0.375  0.375
Nb  0.375  0.375  0.875

- total magnetic moment (μB per formula unit) = 6.117
- calculated volume (Å³ per cell) = 276
- SG = Fd-3m
- offset from the most stable computed form (kJ per mole of atoms) = 306.34

No. 6
A plane-wave DFT calculation with PBE-GGA was carried out for a relaxed structure of CsSnAuO3.

a = 10.644 Å, b = 3.292 Å, c = 13.052 Å
α = 90.00°, β = 90.00°, γ = 90.00°
Atoms (fractional coordinates):
Au  0.587  0.500  0.023
Au  0.087  0.000  0.477
Au  0.913  0.500  0.523
Au  0.413  0.000  0.977
Cs  0.367  0.500  0.246
Cs  0.867  0.000  0.254
Cs  0.133  0.500  0.746
Cs  0.633  0.000  0.754
O  0.711  0.000  0.059
O  0.936  0.500  0.068
O  0.176  0.000  0.123
O  0.676  0.500  0.377
O  0.436  0.000  0.432
O  0.211  0.500  0.441
O  0.789  0.000  0.559
O  0.564  0.500  0.568
O  0.324  0.000  0.623
O  0.824  0.500  0.877
O  0.064  0.000  0.932
O  0.289  0.500  0.941
Sn  0.129  0.500  0.032
Sn  0.629  0.000  0.468
Sn  0.371  0.500  0.532
Sn  0.871  0.000  0.968

- calculated volume (Å³ per cell) = 457
- SG = Pnma

No. 7
A plane-wave DFT calculation with PBE-GGA was carried out for a relaxed structure of ThZnSn.

a = 4.486 Å, b = 4.486 Å, c = 4.305 Å
α = 90.00°, β = 90.00°, γ = 120.00°
Atoms (fractional coordinates):
Sn  0.000  0.000  0.780
Th  0.333  0.667  0.307
Zn  0.667  0.333  0.913

- total magnetic moment (μB per formula unit) = 0.000
- calculated volume (Å³ per cell) = 75
- SG = P3m1

No. 8
A plane-wave DFT calculation with PBE-GGA was carried out for a relaxed structure of SmGdPt.

a = 7.261 Å, b = 4.840 Å, c = 8.896 Å
α = 90.00°, β = 90.00°, γ = 90.00°
Atoms (fractional coordinates):
Gd  0.356  0.250  0.083
Gd  0.856  0.250  0.417
Gd  0.144  0.750  0.583
Gd  0.644  0.750  0.917
Pt  0.754  0.250  0.090
Pt  0.254  0.250  0.410
Pt  0.746  0.750  0.590
Pt  0.246  0.750  0.910
Sm  0.008  0.750  0.170
Sm  0.508  0.750  0.330
Sm  0.492  0.250  0.670
Sm  0.992  0.250  0.830

- total magnetic moment (μB per formula unit) = 0.006
- calculated volume (Å³ per cell) = 313
- energy of formation from the pure elements (kcal/mol of atoms) = -20.55
- SG = Pnma
- offset from the most stable computed form (kJ per mole of atoms) = 0.00

No. 9
A plane-wave DFT calculation with PBE-GGA was carried out for a relaxed structure of Tl2TcAgSe6.

a = 7.236 Å, b = 7.236 Å, c = 7.236 Å
α = 60.00°, β = 60.00°, γ = 60.00°
Atoms (fractional coordinates):
Ag  0.000  0.000  0.000
Se  0.742  0.742  0.258
Se  0.742  0.258  0.258
Se  0.258  0.742  0.258
Se  0.258  0.258  0.742
Se  0.258  0.742  0.742
Se  0.742  0.258  0.742
Tc  0.500  0.500  0.500
Tl  0.250  0.250  0.250
Tl  0.750  0.750  0.750

- total magnetic moment (μB per formula unit) = 0.679
- calculated volume (Å³ per cell) = 268
- SG = Fm-3m

No. 10
A plane-wave DFT calculation with PBE-GGA was carried out for a relaxed structure of DyP2Pd2.

a = 5.752 Å, b = 4.088 Å, c = 9.947 Å
α = 90.01°, β = 30.17°, γ = 69.19°
Atoms (fractional coordinates):
Dy  0.000  0.000  0.000
P  0.000  0.000  0.390
P  0.000  0.000  0.610
Pd  0.000  0.500  0.250
Pd  0.000  0.500  0.750

- total magnetic moment (μB per formula unit) = 0.001
- calculated volume (Å³ per cell) = 83
- SG = I4/mmm

No. 11
A plane-wave DFT calculation with PBE-GGA was carried out for a relaxed structure of Zn2Se.

a = 8.376 Å, b = 8.376 Å, c = 8.376 Å
α = 60.00°, β = 60.00°, γ = 60.00°
Atoms (fractional coordinates):
Se  0.250  0.250  0.250
Se  0.500  0.500  0.500
Zn  0.875  0.375  0.375
Zn  0.375  0.875  0.375
Zn  0.375  0.375  0.375
Zn  0.375  0.375  0.875

- calculated volume (Å³ per cell) = 415
- SG = Fd-3m
- offset from the most stable computed form (kJ per mole of atoms) = 28.40

No. 12
A plane-wave DFT calculation with PBE-GGA was carried out for a relaxed structure of ZnFeSiAu.

a = 4.352 Å, b = 4.352 Å, c = 4.352 Å
α = 60.00°, β = 60.00°, γ = 60.00°
Atoms (fractional coordinates):
Au  0.500  0.500  0.500
Fe  0.750  0.750  0.750
Si  0.000  0.000  0.000
Zn  0.250  0.250  0.250

- total magnetic moment (μB per formula unit) = 2.182
- calculated volume (Å³ per cell) = 58
- SG = F-43m
- offset from the most stable computed form (kJ per mole of atoms) = 9.39

No. 13
A plane-wave DFT calculation with PBE-GGA was carried out for a relaxed structure of Gd2YAl3PtAu2.

a = 3.988 Å, b = 7.390 Å, c = 7.390 Å
α = 119.99°, β = 90.00°, γ = 90.00°
Atoms (fractional coordinates):
Al  0.500  0.236  0.001
Al  0.500  0.001  0.236
Al  0.500  0.764  0.764
Au  0.500  0.666  0.334
Au  0.500  0.334  0.666
Gd  0.000  0.589  0.000
Gd  0.000  0.000  0.589
Pt  0.000  0.001  0.001
Y  0.000  0.410  0.410

- total magnetic moment (μB per formula unit) = 0.024
- calculated volume (Å³ per cell) = 189
- SG = Amm2

No. 14
A plane-wave DFT calculation with PBE-GGA was carried out for a relaxed structure of RbFeNiP2.

a = 7.359 Å, b = 7.359 Å, c = 7.359 Å
α = 150.78°, β = 150.78°, γ = 41.80°
Atoms (fractional coordinates):
Fe  0.500  0.500  0.000
Ni  0.000  0.000  0.000
P  0.088  0.588  0.500
P  0.412  0.912  0.500
Rb  0.750  0.250  0.500

- total magnetic moment (μB per formula unit) = 0.013
- calculated volume (Å³ per cell) = 95
- SG = I-4m2

No. 15
A plane-wave DFT calculation with PBE-GGA was carried out for a relaxed structure of Er2SnAu2.

a = 7.864 Å, b = 7.864 Å, c = 7.440 Å
α = 90.00°, β = 90.00°, γ = 90.00°
Atoms (fractional coordinates):
Au  0.872  0.128  0.222
Au  0.128  0.872  0.222
Au  0.372  0.372  0.278
Au  0.628  0.628  0.278
Au  0.372  0.372  0.722
Au  0.628  0.628  0.722
Au  0.872  0.128  0.778
Au  0.128  0.872  0.778
Er  0.184  0.184  0.000
Er  0.657  0.343  0.000
Er  0.343  0.657  0.000
Er  0.816  0.816  0.000
Er  0.157  0.157  0.500
Er  0.684  0.316  0.500
Er  0.316  0.684  0.500
Er  0.843  0.843  0.500
Sn  0.500  0.000  0.250
Sn  0.000  0.500  0.250
Sn  0.500  0.000  0.750
Sn  0.000  0.500  0.750

- total magnetic moment (μB per formula unit) = 0.001
- calculated volume (Å³ per cell) = 460
- SG = P4_2/mnm

No. 16
A plane-wave DFT calculation with PBE-GGA was carried out for a relaxed structure of Hf3BiB2.

a = 3.485 Å, b = 3.485 Å, c = 20.148 Å
α = 90.00°, β = 90.00°, γ = 120.00°
Atoms (fractional coordinates):
B  0.333  0.667  0.072
B  0.333  0.667  0.428
B  0.667  0.333  0.572
B  0.667  0.333  0.928
Bi  0.000  0.000  0.250
Bi  0.000  0.000  0.750
Hf  0.000  0.000  0.000
Hf  0.667  0.333  0.130
Hf  0.667  0.333  0.370
Hf  0.000  0.000  0.500
Hf  0.333  0.667  0.630
Hf  0.333  0.667  0.870

- total magnetic moment (μB per formula unit) = 0.002
- calculated volume (Å³ per cell) = 212
- SG = P6_3/mmc

No. 17
A plane-wave DFT calculation with PBE-GGA was carried out for a relaxed structure of BaZrU.

a = 5.332 Å, b = 5.332 Å, c = 5.332 Å
α = 60.00°, β = 60.00°, γ = 60.00°
Atoms (fractional coordinates):
Ba  0.250  0.250  0.250
U  0.750  0.750  0.750
Zr  0.000  0.000  0.000

- total magnetic moment (μB per formula unit) = 3.762
- calculated volume (Å³ per cell) = 107
- SG = F-43m
- offset from the most stable computed form (kJ per mole of atoms) = 0.00

No. 18
A plane-wave DFT calculation with PBE-GGA was carried out for a relaxed structure of YAg2B.

a = 4.637 Å, b = 4.637 Å, c = 4.637 Å
α = 60.00°, β = 60.00°, γ = 60.00°
Atoms (fractional coordinates):
Ag  0.000  0.000  0.000
Ag  0.750  0.750  0.750
B  0.500  0.500  0.500
Y  0.250  0.250  0.250

- total magnetic moment (μB per formula unit) = 0.000
- calculated volume (Å³ per cell) = 70
- SG = F-43m

No. 19
A plane-wave DFT calculation with PBE-GGA was carried out for a relaxed structure of Co2As2S.

a = 4.791 Å, b = 4.791 Å, c = 4.791 Å
α = 118.21°, β = 118.21°, γ = 93.13°
Atoms (fractional coordinates):
As  0.500  0.000  0.500
As  0.000  0.500  0.500
Co  0.335  0.335  0.000
Co  0.665  0.665  0.000
S  0.000  0.000  0.000

- total magnetic moment (μB per formula unit) = 2.870
- calculated volume (Å³ per cell) = 80
- SG = I4/mmm

No. 20
A plane-wave DFT calculation with PBE-GGA was carried out for a relaxed structure of Tb2Y.

a = 6.563 Å, b = 6.563 Å, c = 6.563 Å
α = 60.00°, β = 60.00°, γ = 60.00°
Atoms (fractional coordinates):
Tb  0.625  0.625  0.125
Tb  0.625  0.125  0.625
Tb  0.125  0.625  0.625
Tb  0.625  0.625  0.625
Y  0.000  0.000  0.000
Y  0.250  0.250  0.250

- total magnetic moment (μB per formula unit) = 0.125
- calculated volume (Å³ per cell) = 200
- energy of formation from the pure elements (kcal/mol of atoms) = 5.35
- SG = Fd-3m
- offset from the most stable computed form (kJ per mole of atoms) = 0.00

No. 21
A plane-wave DFT calculation with PBE-GGA was carried out for a relaxed structure of HfZnCoB.

a = 4.136 Å, b = 4.136 Å, c = 4.136 Å
α = 60.00°, β = 60.00°, γ = 60.00°
Atoms (fractional coordinates):
B  0.000  0.000  0.000
Co  0.750  0.750  0.750
Hf  0.250  0.250  0.250
Zn  0.500  0.500  0.500

- total magnetic moment (μB per formula unit) = 0.124
- calculated volume (Å³ per cell) = 50
- SG = F-43m
- offset from the most stable computed form (kJ per mole of atoms) = 0.00

Total DFT energy (no corrections): -0.3769, -0.7562, -0.3540, -0.5259, -0.2638, -0.3686, -0.3454, -0.4433, -0.2748, -0.4475, -0.1124, -0.3216, -0.3906, -0.4161, -0.3518, -0.6162, -0.4177, -0.3242, -0.3721, -0.3682, -0.4513 (Ry per atom)